DFT (PBE) results for crystalline CsBi12Pt4 at its relaxed geometry.

Lattice parameters (Å, degrees): 8.728 8.728 8.728 109.47 109.47 109.47
Positions (direct):
Bi  0.161  0.656  0.817
Bi  0.161  0.344  0.504
Bi  0.183  0.839  0.344
Bi  0.496  0.839  0.656
Bi  0.504  0.161  0.344
Bi  0.344  0.504  0.161
Bi  0.839  0.344  0.183
Bi  0.817  0.161  0.656
Bi  0.656  0.817  0.161
Bi  0.656  0.496  0.839
Bi  0.344  0.183  0.839
Bi  0.839  0.656  0.496
Pt  0.000  0.500  0.000
Pt  0.000  0.000  0.500
Pt  0.500  0.000  0.000
Pt  0.500  0.500  0.500
Cs  0.000  0.000  0.000

Output
Its formation energy is -0.222 eV/atom.

=====

DFT (PBE) results for crystalline Ni2PbW at its relaxed geometry.

Lattice parameters (Å, degrees): 4.563 4.563 4.563 125.36 125.36 80.94
Positions (direct):
Pb  0.000  0.000  0.000
Ni  0.250  0.750  0.500
Ni  0.750  0.250  0.500
W  0.500  0.500  0.000

Output
Its formation energy is 0.569 eV/atom.

=====

DFT (PBE) results for crystalline Nd2Tl3CdSe6 at its relaxed geometry.

Lattice parameters (Å, degrees): 7.405 7.405 7.922 99.04 99.04 120.09
Positions (direct):
Se  0.072  0.401  0.216
Se  0.401  0.072  0.216
Se  0.256  0.256  0.781
Se  0.599  0.928  0.784
Se  0.928  0.599  0.784
Se  0.744  0.744  0.219
Tl  0.500  0.500  0.500
Tl  0.830  0.170  0.500
Tl  0.170  0.830  0.500
Nd  0.666  0.334  0.000
Nd  0.334  0.666  0.000
Cd  0.000  0.000  0.000

Output
Its formation energy (no corrections) is -1159 kJ/mol of formula units.

=====

DFT (PBE) results for crystalline I2BrCl at its relaxed geometry.

Lattice parameters (Å, degrees): 5.493 5.493 5.493 60.00 60.00 60.00
Positions (direct):
Br  0.500  0.500  0.500
Cl  0.000  0.000  0.000
I  0.750  0.750  0.750
I  0.250  0.250  0.250

Output
Its formation energy (no corrections) is 208 kJ/mol of formula units. The value obtained for the energy above the most stable polymorph in this dataset is 0.6237 eV per atom.

=====

DFT (PBE) results for crystalline Pr12In3H5 at its relaxed geometry.

Lattice parameters (Å, degrees): 14.149 14.149 14.149 109.47 109.47 109.47
Positions (direct):
Pr  0.609  0.015  0.206
Pr  0.906  0.809  0.515
Pr  0.706  0.109  0.015
Pr  0.391  0.985  0.794
Pr  0.406  0.015  0.309
Pr  0.794  0.485  0.391
Pr  0.294  0.403  0.809
Pr  0.809  0.903  0.294
Pr  0.515  0.206  0.109
Pr  0.609  0.594  0.903
Pr  0.015  0.609  0.706
Pr  0.309  0.794  0.403
Pr  0.015  0.406  0.809
Pr  0.206  0.515  0.609
Pr  0.594  0.985  0.691
Pr  0.109  0.706  0.515
Pr  0.403  0.294  0.309
Pr  0.891  0.294  0.485
Pr  0.706  0.597  0.191
Pr  0.691  0.485  0.594
Pr  0.406  0.391  0.597
Pr  0.094  0.903  0.109
Pr  0.985  0.391  0.294
Pr  0.191  0.094  0.985
Pr  0.691  0.206  0.597
Pr  0.391  0.406  0.097
Pr  0.903  0.094  0.609
Pr  0.985  0.594  0.191
Pr  0.403  0.109  0.594
Pr  0.597  0.706  0.691
Pr  0.109  0.403  0.094
Pr  0.794  0.309  0.903
Pr  0.191  0.097  0.706
Pr  0.097  0.191  0.206
Pr  0.094  0.191  0.485
Pr  0.597  0.891  0.406
Pr  0.294  0.891  0.985
Pr  0.906  0.097  0.891
Pr  0.515  0.309  0.906
Pr  0.903  0.809  0.794
Pr  0.809  0.906  0.015
Pr  0.594  0.609  0.403
Pr  0.485  0.794  0.891
Pr  0.206  0.691  0.097
Pr  0.097  0.906  0.391
Pr  0.891  0.597  0.906
Pr  0.309  0.515  0.406
Pr  0.485  0.691  0.094
H  0.625  0.875  0.250
H  0.375  0.125  0.750
H  0.250  0.875  0.125
H  0.500  0.500  0.000
H  0.250  0.375  0.625
H  0.000  0.500  0.500
H  0.875  0.625  0.750
H  0.000  0.000  0.500
H  0.625  0.750  0.875
H  0.500  0.500  0.500
H  0.000  0.000  0.000
H  0.875  0.250  0.625
H  0.125  0.750  0.375
H  0.000  0.500  0.000
H  0.375  0.250  0.125
H  0.125  0.375  0.250
H  0.750  0.625  0.375
H  0.750  0.125  0.875
H  0.500  0.000  0.000
H  0.500  0.000  0.500
In  0.125  0.250  0.875
In  0.625  0.250  0.375
In  0.750  0.375  0.125
In  0.875  0.125  0.250
In  0.375  0.625  0.250
In  0.250  0.125  0.375
In  0.375  0.750  0.625
In  0.750  0.875  0.625
In  0.250  0.625  0.875
In  0.125  0.875  0.750
In  0.625  0.375  0.750
In  0.875  0.750  0.125

Output
For the total energy, the calculation gives -347.98 eV/cell.

=====

DFT (PBE) results for crystalline NdZn7Pd5 at its relaxed geometry.

Lattice parameters (Å, degrees): 5.496 6.845 6.845 82.13 66.33 66.33
Positions (direct):
Zn  0.354  0.646  0.646
Zn  0.503  0.783  0.210
Zn  0.653  0.347  0.347
Zn  0.990  0.360  0.660
Zn  0.274  0.226  0.226
Zn  0.990  0.660  0.360
Zn  0.503  0.210  0.783
Nd  0.011  0.989  0.989
Pd  0.719  0.781  0.781
Pd  0.002  0.010  0.488
Pd  0.499  0.010  0.488
Pd  0.499  0.488  0.010
Pd  0.002  0.488  0.010

Output
Its formation energy is -0.479 eV/atom.

=====

DFT (PBE) results for crystalline Tm7Zn2Au2 at its relaxed geometry.

Lattice parameters (Å, degrees): 6.449 7.484 6.449 89.97 110.31 90.03
Positions (direct):
Tm  0.000  0.717  0.500
Tm  0.500  0.283  0.000
Tm  0.500  0.738  0.500
Tm  0.000  0.283  0.500
Tm  0.500  0.717  0.000
Tm  0.000  0.000  0.000
Tm  0.500  0.262  0.500
Au  0.808  0.500  0.808
Au  0.192  0.500  0.192
Zn  0.706  0.000  0.294
Zn  0.294  0.000  0.706

Output
Its formation energy is -0.175 eV/atom.

=====

DFT (PBE) results for crystalline LiV2MoRu at its relaxed geometry.

Lattice parameters (Å, degrees): 4.172 3.963 4.172 90.00 90.00 90.00
Positions (direct):
V  0.500  0.000  0.000
V  0.000  0.000  0.500
Li  0.000  0.000  0.000
Mo  0.500  0.500  0.500
Ru  0.000  0.500  0.000

Output
Its formation energy is 1.026 eV/atom.